Entry 1:
{
  "formula": "Pm3Cd3Au",
  "functional": "PBE",
  "state": "relaxed",
  "magnetic_moment_mub_per_fu": 0.0,
  "n_ef_per_ev_fu": 5.6,
  "spacegroup": "No. 44",
  "delta_e_f_ev_per_atom": -0.404,
  "cell": [[4.8241, 0.0000, -1.0524], [-0.1762, 3.4773, -0.8078], [-0.1409, 0.6965, 10.9365]],
  "species": ["Pm", "Au", "Cd", "Cd", "Pm", "Pm", "Cd"],
  "frac_coords": [[0.6985, 0.1985, 0.3970], [0.4332, 0.4332, 0.8664], [0.5666, 0.5666, 0.1333], [0.1422, 0.6422, 0.2844], [0.3096, 0.8096, 0.6191], [0.9921, 0.9921, 0.9842], [0.8578, 0.3578, 0.7157]]
}

***

Entry 2:
{
  "formula": "NdWC",
  "functional": "PBE",
  "state": "relaxed",
  "magnetic_moment_mub_per_fu": 0.0,
  "n_ef_per_ev_fu": 1.7,
  "spacegroup": "No. 129",
  "delta_e_f_ev_per_atom": 0.229,
  "cell": [[3.6101, 0.0000, 0.0000], [0.0000, 3.6101, 0.0000], [0.0000, 0.0000, 8.9043]],
  "species": ["C", "C", "Nd", "Nd", "W", "W"],
  "frac_coords": [[0.0000, 0.5000, 0.3377], [0.5000, 0.0000, 0.6623], [0.0000, 0.5000, 0.8075], [0.5000, 0.0000, 0.1925], [0.0000, 0.0000, 0.5000], [0.5000, 0.5000, 0.5000]]
}

***

Entry 3:
{
  "formula": "LiTa2Cl",
  "functional": "PBE",
  "state": "relaxed",
  "magnetic_moment_mub_per_fu": 0.0,
  "n_ef_per_ev_fu": 3.7,
  "formation_energy_uncorrected_ev_per_fu": 3.143,
  "spacegroup": "No. 119",
  "cell": [[5.1607, 0.0119, 0.0000], [2.1870, 4.6744, 0.0000], [-3.6739, -2.3431, 2.7650]],
  "species": ["Cl", "Ta", "Ta", "Li"],
  "frac_coords": [[0.5000, 0.5000, 0.0000], [0.0000, 0.0000, 0.0000], [0.2500, 0.7500, 0.5000], [0.7500, 0.2500, 0.5000]]
}

***

Entry 4:
{
  "formula": "Cu3AgGe",
  "functional": "PBE",
  "state": "relaxed",
  "magnetic_moment_mub_per_fu": 0.0,
  "n_ef_per_ev_fu": 1.2,
  "spacegroup": "No. 221",
  "delta_e_f_ev_per_atom": 0.528,
  "cell": [[-0.9150, -0.5807, -4.3633], [0.5925, -4.4323, 0.4656], [-4.3617, -0.4803, 0.9786]],
  "species": ["Cu", "Cu", "Ag", "Ge", "Cu"],
  "frac_coords": [[0.5000, 0.0000, 0.0000], [0.0000, 0.0000, 0.5000], [0.5000, 0.5000, 0.5000], [0.0000, 0.0000, 0.0000], [0.0000, 0.5000, 0.0000]]
}

***

Entry 5:
{
  "formula": "LiLaW2I",
  "functional": "PBE",
  "state": "relaxed",
  "magnetic_moment_mub_per_fu": 1.1,
  "n_ef_per_ev_fu": 4.6,
  "formation_energy_uncorrected_ev_per_fu": 11.299,
  "spacegroup": "No. 123",
  "cell": [[5.0073, 0.0000, 0.0000], [0.0000, 5.6540, 0.0000], [0.0000, 0.0000, 5.0073]],
  "species": ["I", "W", "Li", "W", "La"],
  "frac_coords": [[0.5000, 0.5000, 0.5000], [0.5000, 0.0000, 0.0000], [0.0000, 0.5000, 0.0000], [0.0000, 0.0000, 0.5000], [0.0000, 0.0000, 0.0000]]
}

***

Entry 6:
{
  "formula": "Sm2Ni3P4Pt",
  "functional": "PBE",
  "state": "relaxed",
  "magnetic_moment_mub_per_fu": 0.0,
  "n_ef_per_ev_fu": 2.8,
  "spacegroup": "No. 115",
  "delta_e_f_ev_per_atom": -0.986,
  "cell": [[-1.5428, 0.2423, 3.7859], [1.9131, -3.4796, 1.0023], [7.3892, 4.8406, 2.7014]],
  "species": ["P", "Ni", "Sm", "P", "P", "Ni", "Ni", "Pt", "P", "Sm"],
  "frac_coords": [[0.5000, 0.0000, 0.6398], [0.5000, 0.0000, 0.8880], [0.0000, 0.5000, 0.7596], [0.0000, 0.0000, 0.0000], [0.5000, 0.5000, 0.0000], [0.0000, 0.5000, 0.1120], [0.0000, 0.0000, 0.5000], [0.5000, 0.5000, 0.5000], [0.0000, 0.5000, 0.3602], [0.5000, 0.0000, 0.2404]]
}

***

Entry 7:
{
  "formula": "ScTa2ReSi",
  "functional": "PBE",
  "state": "relaxed",
  "magnetic_moment_mub_per_fu": 0.0,
  "n_ef_per_ev_fu": 9.2,
  "formation_energy_uncorrected_ev_per_fu": 4.223,
  "spacegroup": "No. 123",
  "cell": [[-1.7818, -1.6691, 4.2747], [2.1626, -3.9816, -0.6533], [3.9561, 1.7651, 2.3382]],
  "species": ["Re", "Si", "Sc", "Ta", "Ta"],
  "frac_coords": [[0.0000, 0.0000, 0.0000], [0.0000, 0.5000, 0.0000], [0.5000, 0.5000, 0.5000], [0.5000, 0.0000, 0.0000], [0.0000, 0.0000, 0.5000]]
}

***

Entry 8:
{
  "formula": "Pm3Ga4Ni4",
  "functional": "PBE",
  "state": "relaxed",
  "magnetic_moment_mub_per_fu": 0.0,
  "n_ef_per_ev_fu": 9.1,
  "spacegroup": "No. 71",
  "delta_e_f_ev_per_atom": -0.546,
  "cell": [[2.0942, 12.4354, 0.6943], [-2.0942, 12.4354, 0.6943], [0.0000, 0.4350, 4.0235]],
  "species": ["Ni", "Ga", "Pm", "Ga", "Ni", "Ni", "Ni", "Ga", "Ga", "Pm", "Pm"],
  "frac_coords": [[0.7495, 0.7495, 0.7506], [0.1992, 0.1992, 0.8008], [0.3492, 0.3492, 0.6510], [0.8008, 0.8008, 0.1992], [0.2505, 0.2505, 0.2494], [0.1002, 0.1002, 0.8995], [0.8998, 0.8998, 0.1005], [0.4472, 0.4472, 0.0527], [0.5528, 0.5528, 0.9473], [0.6508, 0.6508, 0.3490], [0.0000, 0.0000, 0.5000]]
}

***

Entry 9:
{
  "formula": "Zr3TlS",
  "functional": "PBE",
  "state": "relaxed",
  "magnetic_moment_mub_per_fu": 0.0,
  "n_ef_per_ev_fu": 6.9,
  "formation_energy_uncorrected_ev_per_fu": -2.173,
  "spacegroup": "No. 221",
  "cell": [[-1.0862, 1.4780, 4.4921], [-4.1872, -2.4427, -0.2088], [2.1978, -3.9233, 1.8223]],
  "species": ["Tl", "S", "Zr", "Zr", "Zr"],
  "frac_coords": [[0.5000, 0.5000, 0.5000], [0.0000, 0.0000, 0.0000], [0.5000, 0.0000, 0.0000], [0.0000, 0.5000, 0.0000], [0.0000, 0.0000, 0.5000]]
}

***

Entry 10:
{
  "formula": "LiLaTl2",
  "functional": "PBE",
  "state": "relaxed",
  "magnetic_moment_mub_per_fu": 0.4,
  "n_ef_per_ev_fu": 4.0,
  "spacegroup": "No. 160",
  "delta_e_f_ev_per_atom": -0.019,
  "cell": [[10.9792, -0.0296, -0.0174], [10.4192, 3.4618, -0.0174], [10.4192, 1.6712, 3.0317]],
  "species": ["Li", "La", "Tl", "Tl"],
  "frac_coords": [[0.7407, 0.7407, 0.7407], [0.5007, 0.5007, 0.5007], [0.2551, 0.2551, 0.2551], [0.0036, 0.0036, 0.0036]]
}

***

Entry 11:
{
  "formula": "NpGaBi2",
  "functional": "PBE",
  "state": "relaxed",
  "magnetic_moment_mub_per_fu": 4.2,
  "n_ef_per_ev_fu": 9.1,
  "spacegroup": "No. 123",
  "delta_e_f_ev_per_atom": 0.084,
  "cell": [[-0.6562, 2.1982, -2.5102], [4.2031, -2.2788, -3.0943], [-3.6824, -3.6997, -2.2772]],
  "species": ["Bi", "Np", "Bi", "Ga"],
  "frac_coords": [[0.0000, 0.0000, 0.5000], [0.5000, 0.5000, 0.5000], [0.0000, 0.5000, 0.0000], [0.5000, 0.0000, 0.0000]]
}

***

Entry 12:
{
  "formula": "DyPa2Cu9",
  "functional": "PBE",
  "state": "relaxed",
  "magnetic_moment_mub_per_fu": 0.0,
  "n_ef_per_ev_fu": 10.0,
  "spacegroup": "No. 166",
  "delta_e_f_ev_per_atom": -0.088,
  "cell": [[-2.2799, 1.0362, -4.4102], [0.6409, -3.0868, -3.9727], [-7.2785, -5.1959, -0.3742]],
  "species": ["Cu", "Pa", "Cu", "Cu", "Pa", "Cu", "Cu", "Cu", "Cu", "Cu", "Cu", "Dy"],
  "frac_coords": [[0.3327, 0.3327, 0.0019], [0.8535, 0.8535, 0.4395], [0.0823, 0.5808, 0.7562], [0.6673, 0.6673, 0.9981], [0.1465, 0.1465, 0.5605], [0.4192, 0.9177, 0.2438], [0.5808, 0.0823, 0.7562], [0.4192, 0.4192, 0.2438], [0.9177, 0.4192, 0.2438], [0.5808, 0.5808, 0.7562], [0.5000, 0.5000, 0.5000], [0.0000, 0.0000, 0.0000]]
}

***

Entry 13:
{
  "formula": "LiVSnCl6",
  "functional": "PBE",
  "state": "relaxed",
  "magnetic_moment_mub_per_fu": 2.0,
  "n_ef_per_ev_fu": 8.3,
  "formation_energy_uncorrected_ev_per_fu": -11.285,
  "spacegroup": "No. 163",
  "cell": [[-3.1625, -3.8059, -4.1300], [6.2658, 1.2195, -0.8923], [2.8386, -9.6609, 6.7290]],
  "species": ["Sn", "Cl", "Li", "Cl", "Cl", "Cl", "Cl", "V", "V", "Cl", "Cl", "Cl", "Cl", "Sn", "Li", "Cl", "Cl", "Cl"],
  "frac_coords": [[0.0000, 0.0000, 0.0000], [0.3535, 0.9808, 0.6364], [0.3333, 0.6667, 0.2500], [0.3727, 0.3535, 0.3636], [0.6465, 0.6273, 0.1364], [0.6273, 0.9808, 0.8636], [0.0192, 0.6465, 0.8636], [0.6667, 0.3333, 0.2500], [0.3333, 0.6667, 0.7500], [0.9808, 0.3535, 0.1364], [0.6465, 0.0192, 0.3636], [0.6273, 0.6465, 0.6364], [0.0192, 0.3727, 0.6364], [0.0000, 0.0000, 0.5000], [0.6667, 0.3333, 0.7500], [0.3535, 0.3727, 0.8636], [0.9808, 0.6273, 0.3636], [0.3727, 0.0192, 0.1364]]
}

***

Entry 14:
{
  "formula": "Cs2RbInHg",
  "functional": "PBE",
  "state": "relaxed",
  "magnetic_moment_mub_per_fu": 0.1,
  "n_ef_per_ev_fu": 3.9,
  "spacegroup": "No. 123",
  "delta_e_f_ev_per_atom": -0.017,
  "cell": [[7.4742, 0.0000, 0.0000], [0.0000, 7.4742, 0.0000], [0.0000, 0.0000, 5.7322]],
  "species": ["Rb", "In", "Hg", "Cs", "Cs"],
  "frac_coords": [[0.5000, 0.5000, 0.5000], [0.0000, 0.0000, 0.5000], [0.0000, 0.0000, 0.0000], [0.5000, 0.0000, 0.0000], [0.0000, 0.5000, 0.0000]]
}

***

Entry 15:
{
  "formula": "PrSmBr3",
  "functional": "PBE",
  "state": "relaxed",
  "magnetic_moment_mub_per_fu": 0.0,
  "n_ef_per_ev_fu": 2.2,
  "formation_energy_uncorrected_ev_per_fu": -6.603,
  "spacegroup": "No. 15",
  "cell": [[6.9995, 0.6841, 0.6601], [2.8512, 10.2354, 0.4283], [2.8512, 0.7932, 10.2136]],
  "species": ["Br", "Pr", "Sm", "Br", "Sm", "Br", "Br", "Br", "Br", "Br", "Br", "Pr", "Pr", "Br", "Pr", "Sm", "Sm", "Br", "Br", "Br"],
  "frac_coords": [[0.8785, 0.8812, 0.4531], [0.7500, 0.3657, 0.6343], [0.7665, 0.2577, 0.1737], [0.1215, 0.1188, 0.5469], [0.7335, 0.8263, 0.7423], [0.0669, 0.7642, 0.1201], [0.0157, 0.4548, 0.3377], [0.5157, 0.3377, 0.4548], [0.4331, 0.8799, 0.2358], [0.6215, 0.5469, 0.1188], [0.9843, 0.5452, 0.6623], [0.7500, 0.9984, 0.0016], [0.2500, 0.0016, 0.9984], [0.9331, 0.2358, 0.8799], [0.2500, 0.6343, 0.3657], [0.2665, 0.1737, 0.2577], [0.2335, 0.7423, 0.8263], [0.3785, 0.4531, 0.8812], [0.5669, 0.1201, 0.7642], [0.4843, 0.6623, 0.5452]]
}

***

Entry 16:
{
  "formula": "Tm8CuGe3Se4",
  "functional": "PBE",
  "state": "relaxed",
  "magnetic_moment_mub_per_fu": 0.0,
  "n_ef_per_ev_fu": 7.1,
  "formation_energy_uncorrected_ev_per_fu": -19.530,
  "spacegroup": "No. 166",
  "cell": [[-4.5247, 6.3511, 2.0343], [-6.6254, -4.8074, 0.2724], [6.4714, -1.9137, 4.4053]],
  "species": ["Tm", "Tm", "Se", "Ge", "Tm", "Se", "Tm", "Tm", "Tm", "Se", "Cu", "Tm", "Ge", "Se", "Ge", "Tm"],
  "frac_coords": [[0.2480, 0.7402, 0.4959], [0.7443, 0.7403, 0.9923], [0.0000, 0.0000, 0.0000], [0.5000, 0.5000, 0.0000], [0.2547, 0.2642, 0.5095], [0.5000, 0.0000, 0.0000], [0.2480, 0.7403, 0.9923], [0.7520, 0.2597, 0.0077], [0.7520, 0.2598, 0.5041], [0.5000, 0.0000, 0.5000], [0.0000, 0.5000, 0.0000], [0.7453, 0.7358, 0.4905], [0.0000, 0.5000, 0.5000], [0.0000, 0.0000, 0.5000], [0.5000, 0.5000, 0.5000], [0.2557, 0.2597, 0.0077]]
}

***

Entry 17:
{
  "formula": "Ce3ZrSb4",
  "functional": "PBE",
  "state": "relaxed",
  "magnetic_moment_mub_per_fu": 2.6,
  "n_ef_per_ev_fu": 20.6,
  "formation_energy_uncorrected_ev_per_fu": -7.369,
  "spacegroup": "No. 13",
  "cell": [[-1.9659, -6.8054, 2.7652], [6.7982, -0.5093, -3.4496], [4.0019, 1.9326, 7.6013]],
  "species": ["Zr", "Ce", "Sb", "Sb", "Sb", "Sb", "Sb", "Ce", "Zr", "Ce", "Ce", "Ce", "Sb", "Ce", "Sb", "Sb"],
  "frac_coords": [[0.2500, 0.0000, 0.1241], [0.2500, 0.5000, 0.8761], [0.9921, 0.2414, 0.6330], [0.0079, 0.7586, 0.3670], [0.5007, 0.7655, 0.1169], [0.9993, 0.2345, 0.1169], [0.0007, 0.7655, 0.8831], [0.7500, 0.5000, 0.1239], [0.7500, 0.0000, 0.8759], [0.7500, 0.0000, 0.3733], [0.2500, 0.0000, 0.6267], [0.2500, 0.5000, 0.3728], [0.4921, 0.2414, 0.3670], [0.7500, 0.5000, 0.6272], [0.4993, 0.2345, 0.8831], [0.5079, 0.7586, 0.6330]]
}

***

Entry 18:
{
  "formula": "SbIrCl",
  "functional": "PBE",
  "state": "relaxed",
  "magnetic_moment_mub_per_fu": 0.0,
  "n_ef_per_ev_fu": 2.8,
  "formation_energy_uncorrected_ev_per_fu": 0.504,
  "spacegroup": "No. 216",
  "cell": [[-1.4657, 0.3261, 4.2507], [-4.4070, -0.3158, 0.8952], [-1.6157, -3.6399, 2.1127]],
  "species": ["Sb", "Cl", "Ir"],
  "frac_coords": [[0.0000, 0.0000, 0.0000], [0.5000, 0.5000, 0.5000], [0.7500, 0.7500, 0.7500]]
}

***

Entry 19:
{
  "formula": "CaAu3O",
  "functional": "PBE",
  "state": "relaxed",
  "magnetic_moment_mub_per_fu": 0.0,
  "n_ef_per_ev_fu": 13.9,
  "formation_energy_uncorrected_ev_per_fu": 6.194,
  "spacegroup": "No. 221",
  "cell": [[-0.8982, -5.0361, 1.9001], [1.4490, -2.0815, -4.8319], [5.1840, -0.2907, 1.6798]],
  "species": ["Au", "Ca", "Au", "O", "Au"],
  "frac_coords": [[0.0000, 0.5000, 0.0000], [0.0000, 0.0000, 0.0000], [0.0000, 0.0000, 0.5000], [0.5000, 0.5000, 0.5000], [0.5000, 0.0000, 0.0000]]
}

***

Entry 20:
{
  "formula": "PuHfScIr",
  "functional": "PBE",
  "state": "relaxed",
  "magnetic_moment_mub_per_fu": 6.0,
  "n_ef_per_ev_fu": 12.7,
  "spacegroup": "No. 216",
  "delta_e_f_ev_per_atom": -0.174,
  "cell": [[4.8102, 0.0000, 0.0000], [2.4051, 4.1657, 0.0000], [2.4051, 1.3886, 3.9275]],
  "species": ["Ir", "Hf", "Sc", "Pu"],
  "frac_coords": [[0.0000, 0.0000, 0.0000], [0.7500, 0.7500, 0.7500], [0.2500, 0.2500, 0.2500], [0.5000, 0.5000, 0.5000]]
}